*P*
Density functional theory data (PBE) for a relaxed CaRe3Sb crystal.

POSCAR file:
```
CaRe3Sb
1.0
4.719 0.000 0.000
0.000 4.719 0.000
0.000 0.000 4.719
Re Ca Sb
3 1 1
Direct
0.500 0.000 0.000 Re
0.000 0.500 0.000 Re
0.000 0.000 0.500 Re
0.000 0.000 0.000 Ca
0.500 0.500 0.500 Sb
```

*Q*
Density functional theory data (PBE) for a relaxed CaRe3Sb crystal.

POSCAR file:
```
CaRe3Sb
1.0
-4.237 1.794 1.741
-1.854 -4.553 0.180
1.677 -0.501 4.598
Ca Sb Re
1 1 3
Direct
0.500 0.500 0.500 Ca
0.000 0.000 0.000 Sb
0.500 0.000 0.000 Re
0.000 0.500 0.000 Re
0.000 0.000 0.500 Re
```

Here is how they stack up, most stable first: *Q*, *P*.